Here is a PBEsol-optimized structure of KLa3B from Alexandria via LeMat-Bulk. Energies are from SCAN.

Geometry as extended XYZ:
```
5
Lattice="5.243 0.000 0.000 0.000 5.243 0.000 0.000 0.000 5.243" Properties=species:S:1:pos:R:3 pbc="T T T"
K 0.000 0.000 0.000
La 0.000 0.000 2.621
La 0.000 2.621 0.000
La 2.621 0.000 0.000
B 2.621 2.621 2.621
```

## Properties
- ΔE_f: 1.80 eV/atom
- Space group: No. 221

Here is a PBEsol-optimized structure of KLa2NiB from Alexandria via LeMat-Bulk. Energies are from SCAN.

Geometry as extended XYZ:
```
5
Lattice="5.490 0.000 0.000 0.000 5.490 0.000 0.000 0.000 4.062" Properties=species:S:1:pos:R:3 pbc="T T T"
K 0.000 0.000 0.000
La 0.000 2.745 2.031
La 2.745 0.000 2.031
Ni 2.745 2.745 2.031
B 2.745 2.745 0.000
```

## Properties
- ΔE_f: 0.41 eV/atom
- Space group: No. 123

Here is a PBEsol-optimized structure of K2La2B2O7 from Alexandria via LeMat-Bulk. Energies are from SCAN.

Geometry as extended XYZ:
```
52
Lattice="11.366 0.000 0.000 0.000 6.648 0.000 -4.926 0.000 9.571" Properties=species:S:1:pos:R:3 pbc="T T T"
K -0.932 0.414 2.534
K -3.395 2.910 7.319
K 1.071 4.951 0.535
K -1.392 5.021 5.321
K 7.832 1.627 4.251
K 5.369 1.697 9.036
K 9.835 3.738 2.252
K 7.372 6.234 7.037
La -0.847 0.549 8.757
La 1.616 2.775 3.972
La 4.575 3.626 1.721
La 2.112 6.346 6.506
La 4.328 0.302 3.065
La 1.865 3.022 7.850
La 4.824 3.873 5.600
La 7.287 6.099 0.814
B 1.777 1.639 0.845
B -0.686 1.685 5.630
B -0.756 4.350 8.184
B 1.707 5.623 3.398
B 4.733 1.026 6.173
B 7.196 2.299 1.387
B 7.126 4.963 3.941
B 4.663 5.010 8.726
O -3.375 0.993 9.216
O -0.912 2.331 4.430
O -1.655 1.009 6.341
O 0.808 2.315 1.555
O -1.976 4.965 8.225
O 0.487 5.007 3.440
O 3.107 1.599 1.331
O 0.644 1.726 6.117
O 1.956 0.230 3.954
O -0.508 3.094 8.740
O 2.758 4.967 2.745
O 0.295 5.006 7.530
O 2.434 4.122 5.718
O 4.897 5.851 0.933
O 1.543 0.797 8.638
O 4.006 2.527 3.853
O 6.145 1.643 2.041
O 3.682 1.682 6.826
O 6.948 3.555 0.831
O 4.484 6.418 5.617
O 5.796 4.923 3.454
O 3.333 5.050 8.240
O 5.953 1.641 6.132
O 8.416 1.683 1.346
O 5.632 4.333 8.016
O 8.095 5.640 3.230
O 7.352 4.317 5.141
O 9.815 5.655 0.355
```

## Properties
- Raw formation energy: -3.04 eV per atom
- Space group: No. 14

Energy values, unit eV/cell, following the record order: -136.1 -116.1 -803.7.